This record from Alexandria via LeMat-Bulk describes a relaxed structure of KIn2Ag. The functional is PBE.

Unit cell a=5.302 b=5.302 c=5.302 alpha=60.00 beta=60.00 gamma=60.00
Positions (direct):
K: 0.000 0.000 0.000
In: 0.250 0.250 0.250
In: 0.750 0.750 0.750
Ag: 0.500 0.500 0.500

E_tot   -2.258 eV per atom
Total moment   0.0 μB per cell
Space-group type   Fm-3m (225)

This record from Alexandria via LeMat-Bulk describes a relaxed structure of MgTl2Hg. The functional is PBE.

Unit cell a=6.152 b=6.152 c=3.522 alpha=101.12 beta=101.12 gamma=118.28
Positions (direct):
Mg: 0.000 0.000 0.000
Tl: 0.000 0.500 0.500
Tl: 0.500 0.000 0.500
Hg: 0.500 0.500 0.000

E_tot   -1.657 eV per atom
Total moment   0.0 μB per cell
Space-group type   C2/m (12)

This record from Alexandria via LeMat-Bulk describes a relaxed structure of MgCoPt2. The functional is PBE.

Unit cell a=2.826 b=4.475 c=4.620 alpha=90.00 beta=90.00 gamma=90.00
Positions (direct):
Mg: 0.000 0.000 0.000
Co: 0.000 0.500 0.386
Pt: 0.500 0.000 0.495
Pt: 0.500 0.500 0.888

E_tot   -5.589 eV per atom
Total moment   2.2 μB per cell
Space-group type   Pmm2 (25)

This record from Alexandria via LeMat-Bulk describes a relaxed structure of Ce6Tl2N. The functional is PBE.

Unit cell a=3.422 b=8.774 c=8.774 alpha=121.08 beta=90.00 gamma=90.00
Positions (direct):
Ce: 0.000 0.000 0.000
Ce: 0.000 0.521 0.705
Ce: 0.000 0.705 0.521
Ce: 0.500 0.074 0.737
Ce: 0.500 0.288 0.288
Ce: 0.500 0.737 0.074
Tl: 0.000 0.049 0.415
Tl: 0.000 0.415 0.049
N: 0.500 0.796 0.796

Total moment   3.3 μB per cell
Formation energy from raw total energies   -300 meV/atom
Space-group type   Amm2 (38)

This record from Alexandria via LeMat-Bulk describes a relaxed structure of MgIrO3. The functional is PBE.

Unit cell a=3.892 b=3.892 c=3.892 alpha=90.00 beta=90.00 gamma=90.00
Positions (direct):
Mg: 0.000 0.000 0.000
Ir: 0.500 0.500 0.500
O: 0.000 0.500 0.500
O: 0.500 0.000 0.500
O: 0.500 0.500 0.000

Total moment   0.9 μB per cell
Formation energy from raw total energies   -758 meV/atom
Space-group type   Pm-3m (221)

This record from Alexandria via LeMat-Bulk describes a relaxed structure of CrGaSe2N. The functional is PBE.

Unit cell a=4.989 b=4.989 c=3.522 alpha=90.00 beta=90.00 gamma=90.00
Positions (direct):
Cr: 0.000 0.000 0.000
Ga: 0.500 0.500 0.500
Se: 0.000 0.500 0.000
Se: 0.500 0.000 0.000
N: 0.000 0.000 0.500

Total moment   0.0 μB per cell
Formation energy from raw total energies   77 meV/atom
Space-group type   P4/mmm (123)

This record from Alexandria via LeMat-Bulk describes a relaxed structure of ZrPa2Hg. The functional is PBE.

Unit cell a=3.979 b=3.979 c=6.388 alpha=90.00 beta=90.00 gamma=90.00
Positions (direct):
Zr: 0.000 0.000 0.000
Pa: 0.500 0.500 0.267
Pa: 0.500 0.500 0.733
Hg: 0.000 0.000 0.500

E_tot   -6.679 eV per atom
Total moment   0.0 μB per cell
Space-group type   P4/mmm (123)

This record from Alexandria via LeMat-Bulk describes a relaxed structure of Pu3Mn2Al7. The functional is PBE.

Unit cell a=9.185 b=9.185 c=9.185 alpha=34.44 beta=34.44 gamma=34.44
Positions (direct):
Pu: 0.000 0.000 0.000
Pu: 0.145 0.145 0.145
Pu: 0.855 0.855 0.855
Mn: 0.334 0.334 0.334
Mn: 0.666 0.666 0.666
Al: 0.076 0.579 0.579
Al: 0.421 0.421 0.924
Al: 0.421 0.924 0.421
Al: 0.500 0.500 0.500
Al: 0.579 0.076 0.579
Al: 0.579 0.579 0.076
Al: 0.924 0.421 0.421

E_tot   -7.537 eV per atom
Total moment   21.3 μB per cell
Space-group type   R-3m (166)

This record from Alexandria via LeMat-Bulk describes a relaxed structure of CoSN3. The functional is PBE.

Unit cell a=3.467 b=3.467 c=3.467 alpha=90.00 beta=90.00 gamma=90.00
Positions (direct):
Co: 0.000 0.000 0.000
S: 0.500 0.500 0.500
N: 0.000 0.500 0.500
N: 0.500 0.000 0.500
N: 0.500 0.500 0.000

Total moment   2.8 μB per cell
Formation energy from raw total energies   1937 meV/atom
Space-group type   Pm-3m (221)

This record from Alexandria via LeMat-Bulk describes a relaxed structure of Li5Ga3Ag2. The functional is PBE.

Unit cell a=10.386 b=10.386 c=10.386 alpha=140.52 beta=49.77 gamma=150.93
Positions (direct):
Li: 0.100 0.750 0.350
Li: 0.230 0.174 0.404
Li: 0.250 0.250 0.000
Li: 0.270 0.674 0.944
Li: 0.400 0.750 0.650
Li: 0.600 0.250 0.350
Li: 0.730 0.326 0.056
Li: 0.750 0.750 0.000
Li: 0.770 0.826 0.596
Li: 0.900 0.250 0.650
Ga: 0.139 0.867 0.006
Ga: 0.250 0.750 0.500
Ga: 0.361 0.367 0.728
Ga: 0.639 0.633 0.272
Ga: 0.750 0.250 0.500
Ga: 0.861 0.133 0.994
Ag: 0.086 0.229 0.315
Ag: 0.414 0.729 0.144
Ag: 0.586 0.271 0.856
Ag: 0.914 0.771 0.685

E_tot   -2.558 eV per atom
Total moment   0.0 μB per cell
Space-group type   Ibam (72)

This record from Alexandria via LeMat-Bulk describes a relaxed structure of KCd2Ni. The functional is PBE.

Unit cell a=5.301 b=5.301 c=5.301 alpha=126.73 beta=126.73 gamma=78.69
Positions (direct):
K: 0.000 0.000 0.000
Cd: 0.250 0.750 0.500
Cd: 0.750 0.250 0.500
Ni: 0.500 0.500 0.000

E_tot   -1.780 eV per atom
Total moment   0.0 μB per cell
Space-group type   I4/mmm (139)